Entry 1:
{"formula": "LaZr2Mo", "functional": "GGA-PBE", "state": "relaxed", "cell": [[4.275, 0.000, 0.000], [0.000, 4.275, 0.000], [2.138, 2.138, 10.582]], "species": ["La", "La", "Zr", "Zr", "Zr", "Zr", "Mo", "Mo"], "fractional_positions": [[0.000, 0.000, 0.000], [0.750, 0.250, 0.500], [0.142, 0.125, 0.250], [0.375, 0.858, 0.750], [0.608, 0.625, 0.250], [0.875, 0.392, 0.750], [0.500, 0.500, 0.000], [0.250, 0.750, 0.500]], "n_ef_per_ev_cell": 8.91, "delta_e_f_mev_per_atom": 742}

=====

Entry 2:
{"formula": "MnHgAsBr2", "functional": "GGA-PBE", "state": "relaxed", "cell": [[5.188, 0.000, 0.000], [0.000, 5.188, 0.000], [0.000, 0.000, 4.954]], "species": ["Br", "Br", "Hg", "As", "Mn"], "fractional_positions": [[0.500, 0.000, 0.000], [0.000, 0.500, 0.000], [0.500, 0.500, 0.500], [0.000, 0.000, 0.500], [0.000, 0.000, 0.000]], "n_ef_per_ev_cell": 2.31, "raw_formation_energy_mev_per_atom": 7}

=====

Entry 3:
{"formula": "Dy6P5S", "functional": "GGA-PBE", "state": "relaxed", "cell": [[6.838, 0.164, 1.038], [1.678, 5.796, 3.379], [0.115, 0.064, 6.911]], "species": ["Dy", "Dy", "Dy", "Dy", "Dy", "Dy", "P", "P", "P", "P", "P", "S"], "fractional_positions": [[0.747, 0.747, 0.000], [0.748, 0.084, 0.337], [0.253, 0.253, 0.000], [0.748, 0.421, 0.663], [0.252, 0.579, 0.337], [0.252, 0.916, 0.663], [0.000, 0.667, 0.666], [0.500, 0.166, 0.669], [0.000, 0.333, 0.334], [0.500, 0.500, 0.000], [0.500, 0.834, 0.331], [0.000, 0.000, 0.000]], "n_ef_per_ev_cell": 2.35, "raw_formation_energy_mev_per_atom": -1732}

=====

Entry 4:
{"formula": "Nb8MoW2", "functional": "GGA-PBE", "state": "relaxed", "cell": [[-3.532, 2.066, 2.175], [-4.135, -5.640, -1.359], [5.634, -0.480, 4.668]], "species": ["Nb", "Nb", "Nb", "Nb", "Nb", "Nb", "Nb", "Nb", "Mo", "W", "W"], "fractional_positions": [[0.594, 0.737, 0.188], [0.136, 0.087, 0.272], [0.048, 0.371, 0.097], [0.864, 0.913, 0.728], [0.952, 0.629, 0.903], [0.406, 0.263, 0.812], [0.320, 0.554, 0.639], [0.680, 0.446, 0.361], [0.500, 0.000, 0.000], [0.226, 0.817, 0.453], [0.774, 0.183, 0.547]], "n_ef_per_ev_cell": 12.67, "delta_e_f_mev_per_atom": -57}

=====

Entry 5:
{"formula": "Ba2Cd5Ag4", "functional": "GGA-PBE", "state": "relaxed", "cell": [[-0.879, 4.190, -4.243], [-6.432, 4.593, 1.587], [2.358, 6.947, 2.090]], "species": ["Ba", "Ba", "Ag", "Ag", "Ag", "Ag", "Cd", "Cd", "Cd", "Cd", "Cd"], "fractional_positions": [[0.279, 0.778, 0.663], [0.721, 0.222, 0.337], [0.769, 0.557, 0.905], [0.231, 0.443, 0.095], [0.626, 0.937, 0.812], [0.374, 0.063, 0.188], [0.210, 0.252, 0.824], [0.790, 0.748, 0.176], [0.000, 0.500, 0.500], [0.714, 0.252, 0.824], [0.286, 0.748, 0.176]], "n_ef_per_ev_cell": 4.60, "delta_e_f_mev_per_atom": -176}

=====

Entry 6:
{"formula": "K2NdUSe4", "functional": "GGA-PBE", "state": "relaxed", "cell": [[-3.458, 2.548, -0.014], [-0.380, -0.477, 7.405], [4.689, 6.352, -1.840]], "species": ["K", "K", "Se", "Se", "Se", "Se", "Nd", "U"], "fractional_positions": [[0.000, 0.500, 0.500], [0.500, 0.000, 0.500], [0.000, 0.730, 0.208], [0.500, 0.757, 0.788], [0.500, 0.243, 0.212], [0.000, 0.270, 0.792], [0.000, 0.000, 0.000], [0.500, 0.500, 0.000]], "n_ef_per_ev_cell": 7.41, "raw_formation_energy_mev_per_atom": -1480}

=====

Entry 7:
{"formula": "BaIr2W", "functional": "GGA-PBE", "state": "relaxed", "cell": [[6.141, -0.002, 0.005], [3.309, 5.173, -0.005], [-3.999, -3.913, 2.532]], "species": ["W", "Ba", "Ir", "Ir"], "fractional_positions": [[0.538, 0.538, 0.000], [0.250, 0.750, 0.500], [0.742, 0.242, 0.500], [0.969, 0.969, 0.000]], "n_ef_per_ev_cell": 3.35, "delta_e_f_mev_per_atom": 713}

=====

Entry 8:
{"formula": "YTl2Se", "functional": "GGA-PBE", "state": "relaxed", "cell": [[-3.467, 4.017, 7.551], [-0.414, 2.204, 8.953], [-0.014, 5.628, 7.315]], "species": ["Y", "Tl", "Tl", "Se"], "fractional_positions": [[0.250, 0.250, 0.250], [0.489, 0.489, 0.489], [0.011, 0.011, 0.011], [0.750, 0.750, 0.750]], "n_ef_per_ev_cell": 3.52, "raw_formation_energy_mev_per_atom": -183}